# 1
Entry from the Alexandria database: HoErTmTh2 after structural relaxation (PBE).

Lattice parameters (Å, degrees): 8.420 8.420 6.613 90.00 90.00 133.77
Atoms (fractional coordinates):
Ho 0.250 0.750 0.750
Ho 0.750 0.250 0.250
Er 0.152 0.848 0.250
Er 0.848 0.152 0.750
Tm 0.348 0.652 0.250
Tm 0.652 0.348 0.750
Th 0.250 0.250 0.000
Th 0.250 0.250 0.500
Th 0.750 0.750 0.000
Th 0.750 0.750 0.500

DFT formation energy (kJ/mol of formula units): 205
M_tot (μB per formula unit): 0.00

---

# 2
Entry from the Alexandria database: Ho2Er6TmTh after structural relaxation (PBE).

Lattice parameters (Å, degrees): 8.808 8.808 9.058 91.72 91.72 116.82
Atoms (fractional coordinates):
Ho 0.187 0.297 0.443
Ho 0.297 0.187 0.943
Ho 0.703 0.813 0.057
Ho 0.813 0.703 0.557
Er 0.019 0.781 0.895
Er 0.064 0.505 0.690
Er 0.219 0.981 0.605
Er 0.273 0.625 0.060
Er 0.375 0.727 0.440
Er 0.495 0.936 0.810
Er 0.505 0.064 0.190
Er 0.625 0.273 0.560
Er 0.727 0.375 0.940
Er 0.781 0.019 0.395
Er 0.936 0.495 0.310
Er 0.981 0.219 0.105
Tm 0.083 0.917 0.250
Tm 0.917 0.083 0.750
Th 0.464 0.536 0.750
Th 0.536 0.464 0.250

DFT formation energy (kJ/mol of formula units): 145
M_tot (μB per formula unit): 0.01

---

# 3
Entry from the Alexandria database: HoEr5Tm2Th after structural relaxation (PBE).

Lattice parameters (Å, degrees): 11.023 11.023 9.593 90.00 90.00 150.40
Atoms (fractional coordinates):
Ho 0.190 0.810 0.500
Ho 0.810 0.190 0.000
Er 0.014 0.986 0.501
Er 0.271 0.729 0.807
Er 0.305 0.695 0.200
Er 0.397 0.603 0.523
Er 0.469 0.531 0.224
Er 0.531 0.469 0.724
Er 0.603 0.397 0.023
Er 0.695 0.305 0.700
Er 0.729 0.271 0.307
Er 0.986 0.014 0.001
Tm 0.115 0.885 0.811
Tm 0.130 0.870 0.193
Tm 0.870 0.130 0.693
Tm 0.885 0.115 0.311
Th 0.405 0.595 0.904
Th 0.595 0.405 0.404

DFT formation energy (kJ/mol of formula units): 146
M_tot (μB per formula unit): 0.00

---

# 4
Entry from the Alexandria database: Ho6ErTm2Th3 after structural relaxation (PBE).

Lattice parameters (Å, degrees): 6.137 6.137 11.655 95.04 95.04 119.97
Atoms (fractional coordinates):
Ho 0.084 0.417 0.752
Ho 0.250 0.250 0.248
Ho 0.417 0.084 0.752
Ho 0.583 0.916 0.248
Ho 0.750 0.750 0.752
Ho 0.916 0.583 0.248
Er 0.000 0.000 0.500
Tm 0.333 0.667 0.500
Tm 0.667 0.333 0.500
Th 0.167 0.833 0.000
Th 0.500 0.500 0.000
Th 0.833 0.167 0.000

DFT formation energy (kJ/mol of formula units): 30
M_tot (μB per formula unit): 0.00

---

# 5
Entry from the Alexandria database: HoEr4Tm2Th after structural relaxation (PBE).

Lattice parameters (Å, degrees): 4.979 4.979 9.921 90.00 90.00 90.00
Atoms (fractional coordinates):
Ho 0.000 0.000 0.000
Er 0.000 0.500 0.250
Er 0.000 0.500 0.750
Er 0.500 0.000 0.250
Er 0.500 0.000 0.750
Tm 0.000 0.000 0.500
Tm 0.500 0.500 0.000
Th 0.500 0.500 0.500

DFT formation energy (kJ/mol of formula units): 24
M_tot (μB per formula unit): 0.00

---

# 6
Entry from the Alexandria database: HoEr2Tm4Th after structural relaxation (PBE).

Lattice parameters (Å, degrees): 4.978 4.985 9.877 90.00 90.01 90.00
Atoms (fractional coordinates):
Ho 0.000 0.000 0.000
Er 0.000 0.000 0.500
Er 0.500 0.500 0.000
Tm 0.001 0.500 0.251
Tm 0.499 0.000 0.749
Tm 0.501 0.000 0.251
Tm 0.999 0.500 0.749
Th 0.500 0.500 0.500

DFT formation energy (kJ/mol of formula units): 24
M_tot (μB per formula unit): 0.00

---

What did the sixth record say?
Entry from the Alexandria database: HoEr2Tm4Th after structural relaxation (PBE).

Lattice parameters (Å, degrees): 4.978 4.985 9.877 90.00 90.01 90.00
Atoms (fractional coordinates):
Ho 0.000 0.000 0.000
Er 0.000 0.000 0.500
Er 0.500 0.500 0.000
Tm 0.001 0.500 0.251
Tm 0.499 0.000 0.749
Tm 0.501 0.000 0.251
Tm 0.999 0.500 0.749
Th 0.500 0.500 0.500

DFT formation energy (kJ/mol of formula units): 24
M_tot (μB per formula unit): 0.00

---

Q: Among the records above, which one has the highest DFT formation energy?
A: HoErTmTh2

---

Q: Number 6 is which compound?
A: HoEr2Tm4Th

---

Q: Number 4 is which compound?
A: Ho6ErTm2Th3